Density functional theory data (meta-GGA SCAN) for CsFeS2O8 at its PBEsol-relaxed geometry.

Results
Formation energy from raw total energies in meV/atom: -1721
Total DFT energy (no corrections) in Ry per atom: -0.8924

```
CsFeS2O8
1.0
4.7285 0.0000 0.0000
-2.3643 4.0950 0.0000
0.0000 0.0000 8.7969
Cs Fe S O
1 1 2 8
direct
0.0000 0.0000 0.0000
0.0000 0.0000 0.5000
0.3333 0.6667 0.3186
0.6667 0.3333 0.6814
0.0540 0.3493 0.3727
0.2952 0.9460 0.3727
0.3333 0.6667 0.1525
0.3493 0.2952 0.6273
0.6507 0.7048 0.3727
0.6667 0.3333 0.8475
0.7048 0.0540 0.6273
0.9460 0.6507 0.6273
```

=====

Density functional theory data (meta-GGA SCAN) for CsFeP2 at its PBEsol-relaxed geometry.

Results
E_form in eV/f.u.: 4.5
DOS at the Fermi energy in states/eV per atom: 0.50
Energy above the most stable polymorph in this dataset in eV per atom: 1.350
Total DFT energy (no corrections) in Ry per atom: -1.3278

```
CsFeP2
1.0
0.0000 3.4387 3.4387
3.4387 0.0000 3.4387
3.4387 3.4387 0.0000
Cs Fe P
1 1 2
direct
0.0000 0.0000 0.0000
0.5000 0.5000 0.5000
0.2500 0.2500 0.2500
0.7500 0.7500 0.7500
```

=====

Density functional theory data (meta-GGA SCAN) for CsFeP2 at its PBEsol-relaxed geometry.

Results
E_form in eV/f.u.: -0.9
DOS at the Fermi energy in states/eV per atom: 0.62
Energy above the most stable polymorph in this dataset in eV per atom: 0.000
Total DFT energy (no corrections) in Ry per atom: -1.4271

```
CsFeP2
1.0
-2.9358 2.9358 5.8120
2.9358 -2.9358 5.8120
2.9358 2.9358 -5.8120
Cs Fe P
2 2 4
direct
0.3750 0.6250 0.7500
0.6250 0.3750 0.2500
0.1250 0.8750 0.2500
0.8750 0.1250 0.7500
0.0000 0.0000 0.0000
0.0000 0.0000 0.5000
0.0000 0.5000 0.0000
0.5000 0.0000 0.5000
```

=====

no.,V (Å³/cell)
1,170.3
2,81.3
3,200.4